*a*
A plane-wave DFT calculation with PBE was carried out for a relaxed structure of SrCu3Sn.

CIF file:
```
data_SrCu3Sn
_cell_length_a 5.267
_cell_length_b 5.267
_cell_length_c 5.267
_cell_angle_alpha 90.00
_cell_angle_beta 90.00
_cell_angle_gamma 90.00
_space_group_name_H-M_alt 'P m -3 m'
_space_group_IT_number 221
_space_group_name_Hall '-P 4 2 3'
loop_
_atom_site_label
_atom_site_type_symbol
_atom_site_fract_x
_atom_site_fract_y
_atom_site_fract_z
_atom_site_occupancy
Sr1 Sr 0.000 0.000 0.000 1
Cu1 Cu 0.000 0.000 0.500 1
Sn1 Sn 0.500 0.500 0.500 1
```

Calculated values
DOS at the Fermi energy	2.27	states/eV/cell


*b*
A plane-wave DFT calculation with PBE was carried out for a relaxed structure of SrCu3Sn.

CIF file:
```
data_SrCu3Sn
_cell_length_a 4.930
_cell_length_b 4.930
_cell_length_c 4.930
_cell_angle_alpha 90.00
_cell_angle_beta 90.00
_cell_angle_gamma 90.00
_space_group_name_H-M_alt 'P m -3 m'
_space_group_IT_number 221
_space_group_name_Hall '-P 4 2 3'
loop_
_atom_site_label
_atom_site_type_symbol
_atom_site_fract_x
_atom_site_fract_y
_atom_site_fract_z
_atom_site_occupancy
Sr1 Sr 0.000 0.000 0.000 1
Cu1 Cu 0.000 0.500 0.500 1
Sn1 Sn 0.500 0.500 0.500 1
```

Calculated values
DOS at the Fermi energy	1.78	states/eV/cell


Which of the structures shown above is the most stable? The most stable is *b*.